The following is a DFT calculation (PBE-GGA) of a relaxed structure of Sr12Cd3N5.

Cell lengths 14.897, 14.897, 14.897 Å; angles 109.47, 109.47, 109.47 degrees
Sites, in units of the cell vectors:
Cd1 0.750 0.375 0.125
Cd2 0.875 0.750 0.125
Cd3 0.375 0.750 0.625
Cd4 0.250 0.125 0.375
Cd5 0.875 0.125 0.250
Cd6 0.375 0.625 0.250
Cd7 0.625 0.375 0.750
Cd8 0.125 0.875 0.750
Cd9 0.750 0.875 0.625
Cd10 0.625 0.250 0.375
Cd11 0.125 0.250 0.875
Cd12 0.250 0.625 0.875
N1 0.125 0.375 0.250
N2 0.000 0.500 0.000
N3 0.000 0.000 0.000
N4 0.375 0.250 0.125
N5 0.500 0.000 0.500
N6 0.500 0.500 0.000
N7 0.125 0.750 0.375
N8 0.750 0.125 0.875
N9 0.750 0.625 0.375
N10 0.375 0.125 0.750
N11 0.625 0.875 0.250
N12 0.500 0.500 0.500
N13 0.500 0.000 0.000
N14 0.000 0.000 0.500
N15 0.250 0.375 0.625
N16 0.250 0.875 0.125
N17 0.000 0.500 0.500
N18 0.875 0.250 0.625
N19 0.625 0.750 0.875
N20 0.875 0.625 0.750
Sr1 0.692 0.110 0.008
Sr2 0.316 0.508 0.398
Sr3 0.992 0.390 0.308
Sr4 0.508 0.192 0.110
Sr5 0.582 0.692 0.684
Sr6 0.992 0.602 0.184
Sr7 0.316 0.808 0.418
Sr8 0.102 0.918 0.110
Sr9 0.602 0.992 0.684
Sr10 0.692 0.582 0.184
Sr11 0.808 0.492 0.390
Sr12 0.816 0.898 0.008
Sr13 0.110 0.692 0.508
Sr14 0.390 0.398 0.082
Sr15 0.082 0.898 0.390
Sr16 0.418 0.110 0.602
Sr17 0.082 0.184 0.192
Sr18 0.492 0.684 0.102
Sr19 0.816 0.918 0.308
Sr20 0.110 0.418 0.102
Sr21 0.390 0.992 0.808
Sr22 0.602 0.610 0.418
Sr23 0.898 0.816 0.508
Sr24 0.808 0.316 0.918
Sr25 0.398 0.390 0.582
Sr26 0.102 0.184 0.492
Sr27 0.192 0.684 0.082
Sr28 0.184 0.082 0.692
Sr29 0.610 0.008 0.192
Sr30 0.890 0.582 0.898
Sr31 0.508 0.316 0.898
Sr32 0.582 0.890 0.398
Sr33 0.918 0.816 0.808
Sr34 0.918 0.102 0.610
Sr35 0.890 0.308 0.492
Sr36 0.184 0.102 0.992
Sr37 0.610 0.602 0.918
Sr38 0.398 0.008 0.316
Sr39 0.308 0.418 0.816
Sr40 0.192 0.508 0.610
Sr41 0.898 0.082 0.890
Sr42 0.684 0.192 0.582
Sr43 0.492 0.808 0.890
Sr44 0.008 0.398 0.816
Sr45 0.418 0.308 0.316
Sr46 0.008 0.610 0.692
Sr47 0.684 0.492 0.602
Sr48 0.308 0.890 0.992

Properties
- theoretical density (Mg/m³) = 3.807
- formation energy without anion corrections (eV per atom) = -0.3264
- symmetry = Ia-3d, No. 230



The following is a DFT calculation (PBE-GGA) of a relaxed structure of Sr2CdN.

Cell lengths 3.798, 3.798, 9.227 Å; angles 78.12, 78.12, 60.00 degrees
Sites, in units of the cell vectors:
Sr1 0.218 0.218 0.345
Sr2 0.782 0.782 0.655
N1 0.500 0.500 0.500
Cd1 0.000 0.000 0.000

Properties
- theoretical density (Mg/m³) = 4.474
- distance to the lowest polymorph of the same formula (eV/atom) = 0.000
- formation energy without anion corrections (eV per atom) = -0.4422
- symmetry = R-3m, No. 166



The following is a DFT calculation (PBE-GGA) of a relaxed structure of Sr8Cd2N.

Cell lengths 6.568, 7.295, 10.337 Å; angles 111.44, 108.52, 90.00 degrees
Sites, in units of the cell vectors:
Sr1 0.421 0.635 0.843
Sr2 0.622 0.950 0.244
Sr3 0.782 0.717 0.565
Sr4 0.990 0.239 0.980
Sr5 0.218 0.283 0.435
Sr6 0.378 0.050 0.756
Sr7 0.579 0.365 0.157
Sr8 0.010 0.761 0.020
Cd1 0.830 0.306 0.660
Cd2 0.170 0.694 0.340
N1 0.500 0.000 0.000

Properties
- theoretical density (Mg/m³) = 3.601
- formation energy without anion corrections (eV per atom) = -0.0812
- symmetry = C2/m, No. 12



The following is a DFT calculation (PBE-GGA) of a relaxed structure of Sr2CdN.

Cell lengths 7.673, 7.673, 6.892 Å; angles 56.18, 56.18, 90.00 degrees
Sites, in units of the cell vectors:
Sr1 0.517 0.125 0.250
Sr2 0.233 0.625 0.250
Sr3 0.375 0.483 0.750
Sr4 0.875 0.767 0.750
N1 0.500 0.500 0.000
N2 0.250 0.750 0.500
Cd1 0.000 0.000 0.000
Cd2 0.750 0.250 0.500

Properties
- theoretical density (Mg/m³) = 4.003
- distance to the lowest polymorph of the same formula (eV/atom) = 0.196
- formation energy without anion corrections (eV per atom) = -0.2466
- symmetry = I-42d, No. 122



The following is a DFT calculation (PBE-GGA) of a relaxed structure of Sr8CdN2.

Cell lengths 8.258, 8.501, 8.501 Å; angles 58.06, 76.13, 76.13 degrees
Sites, in units of the cell vectors:
Sr1 0.239 0.345 0.901
Sr2 0.761 0.099 0.655
Sr3 0.372 0.834 0.834
Sr4 0.628 0.166 0.166
Sr5 0.239 0.901 0.345
Sr6 0.761 0.655 0.099
Sr7 0.778 0.636 0.636
Sr8 0.222 0.364 0.364
Cd1 0.000 0.000 0.000
N1 0.670 0.801 0.801
N2 0.330 0.199 0.199

Properties
- theoretical density (Mg/m³) = 2.869
- formation energy without anion corrections (eV per atom) = -0.2628
- symmetry = C2/m, No. 12



The following is a DFT calculation (PBE-GGA) of a relaxed structure of Sr3Cd2N.

Cell lengths 7.879, 7.879, 7.001 Å; angles 90.00, 90.00, 120.00 degrees
Sites, in units of the cell vectors:
Sr1 0.716 0.858 0.250
Sr2 0.142 0.284 0.250
Sr3 0.142 0.858 0.250
Sr4 0.284 0.142 0.750
Sr5 0.858 0.716 0.750
Sr6 0.858 0.142 0.750
Cd1 0.333 0.667 0.944
Cd2 0.667 0.333 0.444
Cd3 0.667 0.333 0.056
Cd4 0.333 0.667 0.556
N1 0.000 0.000 0.000
N2 0.000 0.000 0.500

Properties
- theoretical density (Mg/m³) = 4.426
- formation energy without anion corrections (eV per atom) = -0.3597
- symmetry = P6_3/mmc, No. 194



The following is a DFT calculation (PBE-GGA) of a relaxed structure of SrCdN3.

Cell lengths 4.697, 4.697, 4.697 Å; angles 90.00, 90.00, 90.00 degrees
Sites, in units of the cell vectors:
Sr1 0.000 0.000 0.000
N1 0.000 0.500 0.000
N2 0.000 0.000 0.500
N3 0.500 0.000 0.000
Cd1 0.500 0.500 0.500

Properties
- theoretical density (Mg/m³) = 3.878
- formation energy without anion corrections (eV per atom) = 2.0700
- symmetry = Pm-3m, No. 221



The following is a DFT calculation (PBE-GGA) of a relaxed structure of Sr5Cd2N.

Cell lengths 7.498, 9.795, 15.115 Å; angles 90.00, 90.00, 90.00 degrees
Sites, in units of the cell vectors:
Sr1 0.750 0.726 0.110
Sr2 0.250 0.274 0.890
Sr3 0.250 0.774 0.610
Sr4 0.750 0.226 0.390
Sr5 0.503 0.657 0.895
Sr6 0.497 0.343 0.105
Sr7 0.497 0.843 0.395
Sr8 0.003 0.343 0.105
Sr9 0.503 0.157 0.605
Sr10 0.997 0.657 0.895
Sr11 0.997 0.157 0.605
Sr12 0.003 0.843 0.395
Sr13 0.500 0.000 0.000
Sr14 0.500 0.500 0.500
Sr15 0.000 0.000 0.000
Sr16 0.000 0.500 0.500
Sr17 0.750 0.950 0.797
Sr18 0.250 0.050 0.203
Sr19 0.250 0.550 0.297
Sr20 0.750 0.450 0.703
Cd1 0.750 0.537 0.294
Cd2 0.250 0.463 0.706
Cd3 0.250 0.963 0.794
Cd4 0.750 0.037 0.206
Cd5 0.750 0.802 0.590
Cd6 0.250 0.198 0.410
Cd7 0.250 0.698 0.090
Cd8 0.750 0.302 0.910
N1 0.750 0.821 0.943
N2 0.250 0.179 0.057
N3 0.250 0.679 0.443
N4 0.750 0.321 0.557

Properties
- theoretical density (Mg/m³) = 4.051
- formation energy without anion corrections (eV per atom) = -0.3273
- symmetry = Pnma, No. 62



The following is a DFT calculation (PBE-GGA) of a relaxed structure of Sr2CdN2.

Cell lengths 3.887, 3.887, 7.423 Å; angles 105.18, 105.18, 90.00 degrees
Sites, in units of the cell vectors:
Sr1 0.665 0.665 0.330
Sr2 0.335 0.335 0.670
N1 0.849 0.849 0.698
N2 0.151 0.151 0.302
Cd1 0.000 0.000 0.000

Properties
- theoretical density (Mg/m³) = 5.031
- formation energy without anion corrections (eV per atom) = -0.3946
- symmetry = I4/mmm, No. 139



The following is a DFT calculation (PBE-GGA) of a relaxed structure of Sr3CdN.

Cell lengths 5.370, 5.268, 11.412 Å; angles 103.34, 103.63, 90.00 degrees
Sites, in units of the cell vectors:
Sr1 0.815 0.065 0.129
Sr2 0.185 0.935 0.871
Sr3 0.055 0.305 0.610
Sr4 0.945 0.695 0.390
Sr5 0.422 0.172 0.343
Sr6 0.578 0.828 0.657
Cd1 0.300 0.550 0.100
Cd2 0.700 0.450 0.900
N1 0.069 0.819 0.639
N2 0.931 0.181 0.361

Properties
- theoretical density (Mg/m³) = 4.242
- distance to the lowest polymorph of the same formula (eV/atom) = 0.021
- formation energy without anion corrections (eV per atom) = -0.3958
- symmetry = Imma, No. 74



The following is a DFT calculation (PBE-GGA) of a relaxed structure of Sr2CdN.

Cell lengths 3.345, 3.345, 8.514 Å; angles 90.00, 90.00, 90.00 degrees
Sites, in units of the cell vectors:
Sr1 0.000 0.000 0.833
Sr2 0.000 0.000 0.167
N1 0.500 0.500 0.000
Cd1 0.500 0.500 0.500

Properties
- theoretical density (Mg/m³) = 5.259
- distance to the lowest polymorph of the same formula (eV/atom) = 0.230
- formation energy without anion corrections (eV per atom) = -0.2127
- symmetry = P4/mmm, No. 123



The following is a DFT calculation (PBE-GGA) of a relaxed structure of SrCdN3.

Cell lengths 4.290, 4.290, 4.290 Å; angles 90.00, 90.00, 90.00 degrees
Sites, in units of the cell vectors:
Sr1 0.500 0.500 0.500
N1 0.000 0.500 0.000
N2 0.000 0.000 0.500
N3 0.500 0.000 0.000
Cd1 0.000 0.000 0.000

Properties
- theoretical density (Mg/m³) = 5.089
- formation energy without anion corrections (eV per atom) = 1.2867
- symmetry = Pm-3m, No. 221



The following is a DFT calculation (PBE-GGA) of a relaxed structure of Sr2CdTcN.

Cell lengths 5.517, 5.517, 3.895 Å; angles 90.00, 90.00, 90.00 degrees
Sites, in units of the cell vectors:
Sr1 0.000 0.500 0.000
Sr2 0.500 0.000 0.000
N1 0.000 0.000 0.000
Tc1 0.000 0.000 0.500
Cd1 0.500 0.500 0.500

Properties
- theoretical density (Mg/m³) = 5.596
- formation energy without anion corrections (eV per atom) = -0.2704
- symmetry = P4/mmm, No. 123



The following is a DFT calculation (PBE-GGA) of a relaxed structure of SrCdTeN2.

Cell lengths 4.604, 4.604, 5.939 Å; angles 90.00, 90.00, 90.00 degrees
Sites, in units of the cell vectors:
Sr1 0.500 0.500 0.500
N1 0.000 0.500 0.000
N2 0.500 0.000 0.000
Te1 0.000 0.000 0.500
Cd1 0.000 0.000 0.000

Properties
- theoretical density (Mg/m³) = 4.690
- distance to the lowest polymorph of the same formula (eV/atom) = 0.000
- formation energy without anion corrections (eV per atom) = 0.8514
- symmetry = P4/mmm, No. 123



The following is a DFT calculation (PBE-GGA) of a relaxed structure of SrCdTeN2.

Cell lengths 4.833, 4.833, 6.801 Å; angles 90.00, 90.00, 90.00 degrees
Sites, in units of the cell vectors:
Sr1 0.000 0.000 0.000
N1 0.000 0.500 0.000
N2 0.500 0.000 0.000
Te1 0.000 0.000 0.500
Cd1 0.500 0.500 0.500

Properties
- theoretical density (Mg/m³) = 3.717
- distance to the lowest polymorph of the same formula (eV/atom) = 0.322
- formation energy without anion corrections (eV per atom) = 1.1731
- symmetry = P4/mmm, No. 123



The following is a DFT calculation (PBE-GGA) of a relaxed structure of SrTh2CdN4.

Cell lengths 3.738, 6.437, 12.633 Å; angles 90.00, 90.00, 106.88 degrees
Sites, in units of the cell vectors:
Sr1 0.087 0.174 0.750
Sr2 0.913 0.826 0.250
Th1 0.369 0.737 0.552
Th2 0.631 0.263 0.052
Th3 0.631 0.263 0.448
Th4 0.369 0.737 0.948
Cd1 0.826 0.653 0.750
Cd2 0.174 0.347 0.250
N1 0.256 0.512 0.096
N2 0.744 0.488 0.596
N3 0.744 0.488 0.904
N4 0.256 0.512 0.404
N5 0.000 0.000 0.500
N6 0.000 0.000 0.000
N7 0.440 0.881 0.750
N8 0.560 0.119 0.250

Properties
- theoretical density (Mg/m³) = 8.221
- formation energy without anion corrections (eV per atom) = -0.9856
- symmetry = Cmcm, No. 63



The following is a DFT calculation (PBE-GGA) of a relaxed structure of Sr2TlCdN.

Cell lengths 5.379, 5.379, 4.552 Å; angles 90.00, 90.00, 90.00 degrees
Sites, in units of the cell vectors:
Sr1 0.000 0.500 0.000
Sr2 0.500 0.000 0.000
Tl1 0.500 0.500 0.500
N1 0.000 0.000 0.000
Cd1 0.000 0.000 0.500

Properties
- theoretical density (Mg/m³) = 6.380
- formation energy without anion corrections (eV per atom) = -0.2769
- symmetry = P4/mmm, No. 123



The following is a DFT calculation (PBE-GGA) of a relaxed structure of SrCdW2N.

Cell lengths 5.318, 4.201, 5.318 Å; angles 90.00, 90.00, 90.00 degrees
Sites, in units of the cell vectors:
Sr1 0.500 0.500 0.500
N1 0.000 0.500 0.000
W1 0.000 0.000 0.500
W2 0.500 0.000 0.000
Cd1 0.000 0.000 0.000

Properties
- theoretical density (Mg/m³) = 8.130
- formation energy without anion corrections (eV per atom) = 2.6714
- symmetry = P4/mmm, No. 123



The following is a DFT calculation (PBE-GGA) of a relaxed structure of Sr2YCdN.

Cell lengths 5.428, 5.428, 4.677 Å; angles 90.00, 90.00, 90.00 degrees
Sites, in units of the cell vectors:
Y1 0.000 0.000 0.500
Sr1 0.000 0.500 0.000
Sr2 0.500 0.000 0.000
N1 0.000 0.000 0.000
Cd1 0.500 0.500 0.500

Properties
- theoretical density (Mg/m³) = 4.706
- formation energy without anion corrections (eV per atom) = -0.5525
- symmetry = P4/mmm, No. 123



The following is a DFT calculation (PBE-GGA) of a relaxed structure of Sr2ZnCdN.

Cell lengths 3.819, 8.974, 8.380 Å; angles 120.26, 90.00, 90.00 degrees
Sites, in units of the cell vectors:
Sr1 0.750 0.839 0.579
Sr2 0.750 0.825 0.992
Sr3 0.250 0.161 0.421
Sr4 0.250 0.175 0.008
Zn1 0.250 0.583 0.627
Zn2 0.750 0.417 0.373
Cd1 0.250 0.614 0.185
Cd2 0.750 0.386 0.815
N1 0.250 0.843 0.790
N2 0.750 0.157 0.210

Properties
- theoretical density (Mg/m³) = 4.915
- distance to the lowest polymorph of the same formula (eV/atom) = 0.000
- formation energy without anion corrections (eV per atom) = -0.3954
- symmetry = P2_1/m, No. 11